No. 1
Here is a geometry-optimized CaB2IrRu structure from the Alexandria database. Energies are from PBE.

Lattice parameters (Å, degrees): 4.091 4.091 5.346 90.00 90.00 90.00
Fractional coordinates of all 5 atoms:
1 Ca 0.000 0.000 0.000
2 B 0.000 0.500 0.500
3 B 0.500 0.000 0.500
4 Ir 0.000 0.000 0.500
5 Ru 0.500 0.500 0.000

Properties
Formation enthalpy at 0 K: 1.008 eV per atom
Raw total energy: -5.69 eV per atom

---

No. 2
Here is a geometry-optimized KZr2Hg structure from the Alexandria database. Energies are from PBE.

Lattice parameters (Å, degrees): 6.712 6.712 6.712 153.24 125.39 61.83
Fractional coordinates of all 4 atoms:
1 K 0.000 0.000 0.000
2 Zr 0.297 0.797 0.500
3 Zr 0.513 0.513 0.000
4 Hg 0.742 0.242 0.500

Properties
Formation enthalpy at 0 K: 0.556 eV per atom
Raw total energy: -4.07 eV per atom

---

No. 3
Here is a geometry-optimized ReSbRu2 structure from the Alexandria database. Energies are from PBE.

Lattice parameters (Å, degrees): 5.371 5.371 5.371 147.13 130.20 60.96
Fractional coordinates of all 4 atoms:
1 Re 0.000 0.000 0.000
2 Sb 0.764 0.264 0.500
3 Ru 0.252 0.752 0.500
4 Ru 0.541 0.541 0.000

Properties
Raw total energy: -8.42 eV per atom
ΔE_f (raw): 0.360 eV per atom

---

No. 4
Here is a geometry-optimized Sr2SmPdO6 structure from the Alexandria database. Energies are from PBE.

Lattice parameters (Å, degrees): 5.871 5.964 10.133 90.00 124.67 90.00
Fractional coordinates of all 20 atoms:
1 Sr 0.237 0.044 0.249
2 Sr 0.237 0.456 0.749
3 Sr 0.763 0.544 0.251
4 Sr 0.763 0.956 0.751
5 Sm 0.500 0.000 0.000
6 Sm 0.500 0.500 0.500
7 Pd 0.000 0.000 0.500
8 Pd 0.000 0.500 0.000
9 O 0.144 0.225 0.953
10 O 0.144 0.275 0.453
11 O 0.229 0.696 0.956
12 O 0.229 0.804 0.456
13 O 0.317 0.025 0.733
14 O 0.317 0.475 0.233
15 O 0.683 0.525 0.767
16 O 0.683 0.975 0.267
17 O 0.771 0.196 0.544
18 O 0.771 0.304 0.044
19 O 0.856 0.725 0.547
20 O 0.856 0.775 0.047

Properties
Raw total energy: -6.39 eV per atom
ΔE_f (raw): -2.087 eV per atom

---

No. 5
Here is a geometry-optimized TmSiRh3 structure from the Alexandria database. Energies are from PBE.

Lattice parameters (Å, degrees): 6.182 6.182 6.182 127.54 104.69 97.88
Fractional coordinates of all 10 atoms:
1 Tm 0.254 0.004 0.250
2 Tm 0.746 0.996 0.750
3 Si 0.000 0.500 0.500
4 Si 0.500 0.500 0.000
5 Rh 0.079 0.329 0.750
6 Rh 0.300 0.000 0.800
7 Rh 0.300 0.500 0.300
8 Rh 0.700 0.000 0.200
9 Rh 0.700 0.500 0.700
10 Rh 0.921 0.671 0.250

Properties
Raw total energy: -7.12 eV per atom
ΔE_f (raw): -0.725 eV per atom

---

No. 6
Here is a geometry-optimized NdSm2Dy2Ho4 structure from the Alexandria database. Energies are from PBE.

Lattice parameters (Å, degrees): 9.505 9.505 9.565 115.21 115.21 21.86
Fractional coordinates of all 9 atoms:
1 Nd 0.000 0.000 0.000
2 Sm 0.148 0.148 0.666
3 Sm 0.852 0.852 0.334
4 Dy 0.332 0.332 0.998
5 Dy 0.668 0.668 0.002
6 Ho 0.186 0.186 0.335
7 Ho 0.481 0.481 0.666
8 Ho 0.519 0.519 0.334
9 Ho 0.814 0.814 0.665

Properties
Formation enthalpy at 0 K: 0.002 eV per atom
Raw total energy: -4.63 eV per atom

---

No. 7
Here is a geometry-optimized Er5ZrZn4 structure from the Alexandria database. Energies are from PBE.

Lattice parameters (Å, degrees): 3.478 3.478 19.047 90.00 90.00 90.00
Fractional coordinates of all 10 atoms:
1 Er 0.000 0.000 0.000
2 Er 0.000 0.000 0.189
3 Er 0.000 0.000 0.382
4 Er 0.000 0.000 0.618
5 Er 0.000 0.000 0.811
6 Zr 0.500 0.500 0.500
7 Zn 0.500 0.500 0.095
8 Zn 0.500 0.500 0.284
9 Zn 0.500 0.500 0.716
10 Zn 0.500 0.500 0.905

Properties
Formation enthalpy at 0 K: -0.259 eV per atom
Raw total energy: -3.90 eV per atom

---

No. 8
Here is a geometry-optimized HfSn2HOs structure from the Alexandria database. Energies are from PBE.

Lattice parameters (Å, degrees): 5.446 5.446 3.428 90.00 90.00 90.00
Fractional coordinates of all 5 atoms:
1 Hf 0.000 0.000 0.000
2 Sn 0.000 0.500 0.000
3 Sn 0.500 0.000 0.000
4 H 0.000 0.000 0.500
5 Os 0.500 0.500 0.500

Properties
Raw total energy: -5.54 eV per atom

---

No. 9
Here is a geometry-optimized LaNbNF2 structure from the Alexandria database. Energies are from PBE.

Lattice parameters (Å, degrees): 4.482 4.482 5.024 90.00 90.00 90.00
Fractional coordinates of all 5 atoms:
1 La 0.000 0.000 0.000
2 Nb 0.500 0.500 0.500
3 N 0.000 0.000 0.500
4 F 0.000 0.500 0.000
5 F 0.500 0.000 0.000

Properties
Raw total energy: -6.38 eV per atom
ΔE_f (raw): -0.968 eV per atom

---

No. 10
Here is a geometry-optimized NdGeSe3 structure from the Alexandria database. Energies are from PBE.

Lattice parameters (Å, degrees): 7.024 7.850 11.664 90.00 124.10 90.00
Fractional coordinates of all 20 atoms:
1 Nd 0.211 0.126 0.251
2 Nd 0.211 0.374 0.751
3 Nd 0.789 0.626 0.249
4 Nd 0.789 0.874 0.749
5 Ge 0.150 0.602 0.070
6 Ge 0.150 0.898 0.570
7 Ge 0.850 0.102 0.430
8 Ge 0.850 0.398 0.930
9 Se 0.083 0.174 0.933
10 Se 0.083 0.326 0.433
11 Se 0.288 0.693 0.934
12 Se 0.288 0.807 0.434
13 Se 0.430 0.029 0.782
14 Se 0.430 0.471 0.282
15 Se 0.570 0.529 0.718
16 Se 0.570 0.971 0.218
17 Se 0.712 0.193 0.566
18 Se 0.712 0.307 0.066
19 Se 0.917 0.674 0.567
20 Se 0.917 0.826 0.067

Properties
Raw total energy: -5.02 eV per atom
ΔE_f (raw): -1.053 eV per atom

---

No. 11
Here is a geometry-optimized Ce3MgRu structure from the Alexandria database. Energies are from PBE.

Lattice parameters (Å, degrees): 5.373 5.373 5.373 90.00 90.00 90.00
Fractional coordinates of all 5 atoms:
1 Ce 0.000 0.000 0.500
2 Ce 0.000 0.500 0.000
3 Ce 0.500 0.000 0.000
4 Mg 0.500 0.500 0.500
5 Ru 0.000 0.000 0.000

Properties
Formation enthalpy at 0 K: -0.015 eV per atom
Raw total energy: -5.75 eV per atom

---

No. 12
Here is a geometry-optimized CoCuTe2 structure from the Alexandria database. Energies are from PBE.

Lattice parameters (Å, degrees): 4.684 4.684 3.414 90.00 90.00 97.24
Fractional coordinates of all 4 atoms:
1 Co 0.000 0.000 0.000
2 Cu 0.500 0.500 0.000
3 Te 0.000 0.500 0.500
4 Te 0.500 0.000 0.500

Properties
Raw total energy: -3.91 eV per atom
ΔE_f (raw): 0.460 eV per atom

---

- The lowest raw total energy belongs to which entry?
  ReSbRu2